# 1
First-principles (GGA-PBEsol) data for a relaxed KNaAs2Se crystal, as listed in Alexandria.

The structure in CIF format:
```
data_KNaAs2Se
_chemical_formula_sum 'K1 Na1 As2 Se1'
_cell_length_a 5.4380
_cell_length_b 5.4380
_cell_length_c 5.5850
_cell_angle_alpha 90.00
_cell_angle_beta 90.00
_cell_angle_gamma 90.00
_symmetry_space_group_name_H-M 'P 4/m m m'
_symmetry_Int_Tables_number 123
_symmetry_space_group_name_Hall '-P 4 2'
loop_
_atom_site_label
_atom_site_type_symbol
_atom_site_fract_x
_atom_site_fract_y
_atom_site_fract_z
_atom_site_occupancy
K1 K 0.0000 0.0000 0.0000 1
Na1 Na 0.5000 0.5000 0.5000 1
As1 As 0.0000 0.5000 0.0000 1
Se1 Se 0.0000 0.0000 0.5000 1
```

Summary:
- magnetic moment (μB per formula unit) = 0.03
- uncorrected formation energy (eV per atom) = 0.911
- VASP energy (eV for the cell shown) = -12.0

=====

# 2
First-principles (GGA-PBEsol) data for a relaxed K3Na2SnAs3 crystal, as listed in Alexandria.

The structure in CIF format:
```
data_K3Na2SnAs3
_chemical_formula_sum 'K24 Na16 Sn8 As24'
_cell_length_a 20.2681
_cell_length_b 6.7455
_cell_length_c 15.3466
_cell_angle_alpha 90.00
_cell_angle_beta 90.00
_cell_angle_gamma 90.00
_symmetry_space_group_name_H-M 'C m c e'
_symmetry_Int_Tables_number 64
_symmetry_space_group_name_Hall '-C 2ac 2'
loop_
_atom_site_label
_atom_site_type_symbol
_atom_site_fract_x
_atom_site_fract_y
_atom_site_fract_z
_atom_site_occupancy
K1 K 0.0000 0.2395 0.1778 1
K2 K 0.1667 0.2328 0.8246 1
Na1 Na 0.0812 0.0000 0.0000 1
Na2 Na 0.2449 0.0000 0.0000 1
Sn1 Sn 0.0889 0.0000 0.5000 1
As1 As 0.0000 0.2061 0.4040 1
As2 As 0.1592 0.2232 0.6069 1
```

Summary:
- magnetic moment (μB per formula unit) = 0.00
- energy of formation (eV per atom) = -0.457
- VASP energy (eV for the cell shown) = -239.1

=====

# 3
First-principles (GGA-PBEsol) data for a relaxed K7NbAs4 crystal, as listed in Alexandria.

The structure in CIF format:
```
data_K7NbAs4
_chemical_formula_sum 'K14 Nb2 As8'
_cell_length_a 10.1487
_cell_length_b 9.0934
_cell_length_c 8.2365
_cell_angle_alpha 90.00
_cell_angle_beta 90.00
_cell_angle_gamma 90.00
_symmetry_space_group_name_H-M 'P m n 21'
_symmetry_Int_Tables_number 31
_symmetry_space_group_name_Hall 'P 2ac -2'
loop_
_atom_site_label
_atom_site_type_symbol
_atom_site_fract_x
_atom_site_fract_y
_atom_site_fract_z
_atom_site_occupancy
K1 K 0.0000 0.0363 0.0000 1
K2 K 0.0000 0.3395 0.2121 1
K3 K 0.0000 0.9003 0.4807 1
K4 K 0.2109 0.5339 0.5000 1
K5 K 0.2165 0.1657 0.6664 1
Nb1 Nb 0.0000 0.6751 0.8733 1
As1 As 0.0000 0.4091 0.7951 1
As2 As 0.0000 0.6830 0.1745 1
As3 As 0.2051 0.8089 0.7782 1
```

Summary:
- magnetic moment (μB per formula unit) = 0.00
- energy of formation (eV per atom) = -0.448
- VASP energy (eV for the cell shown) = -89.1

=====

# 4
First-principles (GGA-PBEsol) data for a relaxed K3Nb2AsSe11 crystal, as listed in Alexandria.

The structure in CIF format:
```
data_K3Nb2AsSe11
_chemical_formula_sum 'K12 Nb8 As4 Se44'
_cell_length_a 14.8456
_cell_length_b 12.9224
_cell_length_c 9.7596
_cell_angle_alpha 90.00
_cell_angle_beta 99.39
_cell_angle_gamma 90.00
_symmetry_space_group_name_H-M 'C 1 c 1'
_symmetry_Int_Tables_number 9
_symmetry_space_group_name_Hall 'C -2yc'
loop_
_atom_site_label
_atom_site_type_symbol
_atom_site_fract_x
_atom_site_fract_y
_atom_site_fract_z
_atom_site_occupancy
K1 K 0.0000 0.0708 0.0000 1
K2 K 0.1175 0.4194 0.7554 1
K3 K 0.2459 0.0731 0.6577 1
Nb1 Nb 0.2017 0.2255 0.2670 1
Nb2 Nb 0.3831 0.2983 0.0774 1
As1 As 0.4664 0.1621 0.8018 1
Se1 Se 0.0389 0.1693 0.6613 1
Se2 Se 0.0877 0.3126 0.0727 1
Se3 Se 0.1185 0.3440 0.4277 1
Se4 Se 0.1277 0.0742 0.3289 1
Se5 Se 0.2064 0.2053 0.0012 1
Se6 Se 0.2963 0.4707 0.0230 1
Se7 Se 0.3072 0.4053 0.2527 1
Se8 Se 0.3346 0.2468 0.4792 1
Se9 Se 0.3714 0.1564 0.2808 1
Se10 Se 0.3874 0.1006 0.9925 1
Se11 Se 0.3963 0.3284 0.8146 1
```

Summary:
- magnetic moment (μB per formula unit) = 0.00
- uncorrected formation energy (eV per atom) = -0.708
- VASP energy (eV for the cell shown) = -338.2

=====

# 5
First-principles (GGA-PBEsol) data for a relaxed K3NdAs2S8 crystal, as listed in Alexandria.

The structure in CIF format:
```
data_K3NdAs2S8
_chemical_formula_sum 'K12 Nd4 As8 S32'
_cell_length_a 10.3463
_cell_length_b 18.8083
_cell_length_c 8.8871
_cell_angle_alpha 90.00
_cell_angle_beta 117.27
_cell_angle_gamma 90.00
_symmetry_space_group_name_H-M 'C 1 2/c 1'
_symmetry_Int_Tables_number 15
_symmetry_space_group_name_Hall '-C 2yc'
loop_
_atom_site_label
_atom_site_type_symbol
_atom_site_fract_x
_atom_site_fract_y
_atom_site_fract_z
_atom_site_occupancy
K1 K 0.0000 0.0000 0.0000 1
K2 K 0.0000 0.2423 0.2500 1
K3 K 0.0000 0.4966 0.2500 1
Nd1 Nd 0.0000 0.2569 0.7500 1
As1 As 0.2171 0.3771 0.1035 1
S1 S 0.0171 0.3579 0.5218 1
S2 S 0.1860 0.1774 0.6522 1
S3 S 0.2006 0.1721 0.0596 1
S4 S 0.2459 0.0106 0.8715 1
```

Summary:
- magnetic moment (μB per formula unit) = 0.00
- uncorrected formation energy (eV per atom) = -0.914
- VASP energy (eV for the cell shown) = -266.6

=====

# 6
First-principles (GGA-PBEsol) data for a relaxed KNiAs crystal, as listed in Alexandria.

The structure in CIF format:
```
data_KNiAs
_chemical_formula_sum 'K4 Ni4 As4'
_cell_length_a 6.4996
_cell_length_b 6.4996
_cell_length_c 6.4996
_cell_angle_alpha 90.00
_cell_angle_beta 90.00
_cell_angle_gamma 90.00
_symmetry_space_group_name_H-M 'F -4 3 m'
_symmetry_Int_Tables_number 216
_symmetry_space_group_name_Hall 'F -4 2 3'
loop_
_atom_site_label
_atom_site_type_symbol
_atom_site_fract_x
_atom_site_fract_y
_atom_site_fract_z
_atom_site_occupancy
K1 K 0.0000 0.0000 0.0000 1
Ni1 Ni 0.0000 0.0000 0.5000 1
As1 As 0.2500 0.2500 0.7500 1
```

Summary:
- magnetic moment (μB per formula unit) = 1.19
- energy of formation (eV per atom) = 0.647
- VASP energy (eV for the cell shown) = -41.8

=====

# 7
First-principles (GGA-PBEsol) data for a relaxed K2NiAs2 crystal, as listed in Alexandria.

The structure in CIF format:
```
data_K2NiAs2
_chemical_formula_sum 'K8 Ni4 As8'
_cell_length_a 6.5230
_cell_length_b 13.8825
_cell_length_c 5.6602
_cell_angle_alpha 90.00
_cell_angle_beta 90.00
_cell_angle_gamma 90.00
_symmetry_space_group_name_H-M 'C m c m'
_symmetry_Int_Tables_number 63
_symmetry_space_group_name_Hall '-C 2c 2'
loop_
_atom_site_label
_atom_site_type_symbol
_atom_site_fract_x
_atom_site_fract_y
_atom_site_fract_z
_atom_site_occupancy
K1 K 0.0000 0.0896 0.2500 1
K2 K 0.0000 0.2923 0.7500 1
Ni1 Ni 0.0000 0.5000 0.0000 1
As1 As 0.1870 0.3990 0.2500 1
```

Summary:
- magnetic moment (μB per formula unit) = 0.00
- energy of formation (eV per atom) = -0.403
- VASP energy (eV for the cell shown) = -82.6

=====

# 8
First-principles (GGA-PBEsol) data for a relaxed KNiAs crystal, as listed in Alexandria.

The structure in CIF format:
```
data_KNiAs
_chemical_formula_sum 'K2 Ni2 As2'
_cell_length_a 3.2569
_cell_length_b 3.2569
_cell_length_c 11.6008
_cell_angle_alpha 90.00
_cell_angle_beta 90.00
_cell_angle_gamma 90.00
_symmetry_space_group_name_H-M 'I 4 m m'
_symmetry_Int_Tables_number 107
_symmetry_space_group_name_Hall 'I 4 -2'
loop_
_atom_site_label
_atom_site_type_symbol
_atom_site_fract_x
_atom_site_fract_y
_atom_site_fract_z
_atom_site_occupancy
K1 K 0.0000 0.0000 0.0000 1
Ni1 Ni 0.0000 0.0000 0.7249 1
As1 As 0.0000 0.0000 0.2823 1
```

Summary:
- magnetic moment (μB per formula unit) = 0.00
- energy of formation (eV per atom) = -0.124
- VASP energy (eV for the cell shown) = -25.5

=====

- Look up the VASP energy of the fourth one.
  -338.2 eV for the cell shown

=====

- Number 8 is which compound?
  KNiAs

=====

- The lowest VASP energy belongs to which entry?
  K3Nb2AsSe11